{
  "formula": "Y6Zn2Au",
  "functional": "GGA-PBE",
  "state": "relaxed",
  "cell": [[-2.524, 8.083, 0.995], [-6.829, -5.065, 0.627], [5.652, -2.151, 6.010]],
  "species": ["Y", "Y", "Y", "Y", "Y", "Y", "Y", "Y", "Y", "Y", "Y", "Y", "Zn", "Zn", "Zn", "Zn", "Au", "Au"],
  "frac_coords": [[0.559, 0.735, 0.824], [0.441, 0.265, 0.176], [0.088, 0.265, 0.824], [0.912, 0.735, 0.176], [0.806, 0.748, 0.554], [0.194, 0.252, 0.446], [0.194, 0.748, 0.942], [0.806, 0.252, 0.058], [0.716, 0.391, 0.676], [0.284, 0.609, 0.324], [0.284, 0.960, 0.676], [0.716, 0.040, 0.324], [0.500, 0.374, 0.874], [0.500, 0.626, 0.126], [0.636, 0.000, 0.636], [0.364, 0.000, 0.364], [0.000, 0.500, 0.500], [0.000, 0.000, 0.000]],
  "delta_e_f_ev_per_fu": -2.93,
  "space_group": "Immm, No. 71",
  "dos_ef_per_ev_cell": 19.46
}

=====

{
  "formula": "Rb2NdAgCl6",
  "functional": "GGA-PBE",
  "state": "relaxed",
  "cell": [[7.594, 0.000, 0.006], [0.000, 7.854, 0.000], [0.079, 0.000, 10.617]],
  "species": ["Rb", "Rb", "Rb", "Rb", "Nd", "Nd", "Ag", "Ag", "Cl", "Cl", "Cl", "Cl", "Cl", "Cl", "Cl", "Cl", "Cl", "Cl", "Cl", "Cl"],
  "frac_coords": [[0.016, 0.941, 0.251], [0.516, 0.559, 0.751], [0.984, 0.059, 0.749], [0.484, 0.441, 0.249], [0.500, 0.000, 0.500], [0.000, 0.500, 0.000], [0.500, 0.000, 0.000], [0.000, 0.500, 0.500], [0.290, 0.700, 0.042], [0.790, 0.800, 0.542], [0.710, 0.300, 0.958], [0.210, 0.200, 0.458], [0.301, 0.713, 0.459], [0.801, 0.787, 0.959], [0.699, 0.287, 0.541], [0.199, 0.213, 0.041], [0.919, 0.519, 0.252], [0.419, 0.981, 0.752], [0.081, 0.481, 0.748], [0.581, 0.019, 0.248]],
  "polymorph_energy_mev_per_atom": 0,
  "formation_energy_uncorrected_ev_per_fu": -18.087,
  "space_group": "P2_1/c, No. 14",
  "dos_ef_per_ev_cell": 0.00
}

=====

{
  "formula": "Tl4Te2S",
  "functional": "GGA-PBE",
  "state": "relaxed",
  "cell": [[4.695, 0.000, 0.000], [0.000, 8.050, -0.662], [-2.347, -4.482, 6.892]],
  "species": ["Tl", "Tl", "Tl", "Tl", "Te", "Te", "S"],
  "frac_coords": [[0.889, 0.155, 0.779], [0.111, 0.845, 0.221], [0.653, 0.261, 0.306], [0.347, 0.739, 0.694], [0.666, 0.687, 0.332], [0.334, 0.313, 0.668], [0.000, 0.000, 0.000]],
  "formation_energy_uncorrected_ev_per_fu": -1.387,
  "space_group": "C2/m, No. 12",
  "dos_ef_per_ev_cell": 0.83
}

=====

{
  "formula": "RbPOs3",
  "functional": "GGA-PBE",
  "state": "relaxed",
  "cell": [[4.734, 0.000, 0.000], [0.000, 4.734, 0.000], [0.000, 0.000, 4.734]],
  "species": ["P", "Os", "Os", "Os", "Rb"],
  "frac_coords": [[0.500, 0.500, 0.500], [0.000, 0.500, 0.000], [0.000, 0.000, 0.500], [0.500, 0.000, 0.000], [0.000, 0.000, 0.000]],
  "polymorph_energy_mev_per_atom": 2954,
  "delta_e_f_ev_per_fu": 21.80,
  "space_group": "Pm-3m, No. 221",
  "dos_ef_per_ev_cell": 8.38
}

=====

{
  "formula": "Np2HgBi5",
  "functional": "GGA-PBE",
  "state": "relaxed",
  "cell": [[-4.577, -1.896, 0.508], [1.604, -5.744, -6.982], [3.530, -6.802, 6.406]],
  "species": ["Np", "Np", "Np", "Np", "Hg", "Hg", "Bi", "Bi", "Bi", "Bi", "Bi", "Bi", "Bi", "Bi", "Bi", "Bi"],
  "frac_coords": [[0.500, 0.500, 0.233], [0.500, 0.500, 0.767], [0.500, 0.000, 0.733], [0.500, 0.000, 0.267], [0.000, 0.500, 0.500], [0.000, 0.000, 0.000], [0.000, 0.000, 0.500], [0.000, 0.500, 0.000], [0.000, 0.750, 0.250], [0.000, 0.250, 0.750], [0.000, 0.750, 0.750], [0.000, 0.250, 0.250], [0.500, 0.730, 0.500], [0.500, 0.270, 0.500], [0.500, 0.770, 0.000], [0.500, 0.230, 0.000]],
  "delta_e_f_ev_per_fu": 0.05,
  "space_group": "Cmmm, No. 65",
  "dos_ef_per_ev_cell": 48.54
}

=====

{
  "formula": "CdIn2Ge",
  "functional": "GGA-PBE",
  "state": "relaxed",
  "cell": [[3.733, 0.000, 0.000], [0.000, 3.733, 0.000], [0.000, 0.000, 6.953]],
  "species": ["Ge", "Cd", "In", "In"],
  "frac_coords": [[0.500, 0.500, 0.000], [0.500, 0.500, 0.500], [0.000, 0.000, 0.765], [0.000, 0.000, 0.235]],
  "delta_e_f_ev_per_fu": 0.56,
  "space_group": "P4/mmm, No. 123",
  "dos_ef_per_ev_cell": 1.67
}

=====

{
  "formula": "Er2NpUN4",
  "functional": "GGA-PBE",
  "state": "relaxed",
  "cell": [[3.422, 0.000, 0.000], [0.000, 5.921, 0.103], [0.000, -2.072, 5.619]],
  "species": ["Er", "Er", "Np", "U", "N", "N", "N", "N"],
  "frac_coords": [[0.500, 0.000, 0.500], [0.000, 0.500, 0.500], [0.500, 0.500, 0.000], [0.000, 0.000, 0.000], [0.500, 0.243, 0.245], [0.500, 0.757, 0.755], [0.000, 0.247, 0.756], [0.000, 0.753, 0.244]],
  "formation_energy_uncorrected_ev_per_fu": -11.846,
  "space_group": "P2/m, No. 10",
  "dos_ef_per_ev_cell": 7.82
}

=====

{
  "formula": "Li2Re2F",
  "functional": "GGA-PBE",
  "state": "relaxed",
  "cell": [[3.433, 0.000, 0.000], [0.000, 3.433, 0.000], [1.716, 1.716, 7.718]],
  "species": ["Re", "Re", "Li", "Li", "F"],
  "frac_coords": [[0.750, 0.250, 0.500], [0.250, 0.750, 0.500], [0.413, 0.413, 0.175], [0.587, 0.587, 0.825], [0.000, 0.000, 0.000]],
  "polymorph_energy_mev_per_atom": 0,
  "formation_energy_uncorrected_ev_per_fu": -0.826,
  "space_group": "I4/mmm, No. 139",
  "dos_ef_per_ev_cell": 1.91
}

=====

- Which formula does entry 7 have?
  Er2NpUN4

=====

What did the seventh record say?
{
  "formula": "Er2NpUN4",
  "functional": "GGA-PBE",
  "state": "relaxed",
  "cell": [[3.422, 0.000, 0.000], [0.000, 5.921, 0.103], [0.000, -2.072, 5.619]],
  "species": ["Er", "Er", "Np", "U", "N", "N", "N", "N"],
  "frac_coords": [[0.500, 0.000, 0.500], [0.000, 0.500, 0.500], [0.500, 0.500, 0.000], [0.000, 0.000, 0.000], [0.500, 0.243, 0.245], [0.500, 0.757, 0.755], [0.000, 0.247, 0.756], [0.000, 0.753, 0.244]],
  "formation_energy_uncorrected_ev_per_fu": -11.846,
  "space_group": "P2/m, No. 10",
  "dos_ef_per_ev_cell": 7.82
}

=====

Repeat the sixth record exactly.
{
  "formula": "CdIn2Ge",
  "functional": "GGA-PBE",
  "state": "relaxed",
  "cell": [[3.733, 0.000, 0.000], [0.000, 3.733, 0.000], [0.000, 0.000, 6.953]],
  "species": ["Ge", "Cd", "In", "In"],
  "frac_coords": [[0.500, 0.500, 0.000], [0.500, 0.500, 0.500], [0.000, 0.000, 0.765], [0.000, 0.000, 0.235]],
  "delta_e_f_ev_per_fu": 0.56,
  "space_group": "P4/mmm, No. 123",
  "dos_ef_per_ev_cell": 1.67
}